The following is a DFT calculation (SCAN) of SrNi10P6 at its PBEsol-relaxed geometry. Values from VASP.

Calculated values
- formation energy from the elements (meV per atom) = -657.5

```
&SYSTEM
  ibrav = 0, nat = 34, ntyp = 3
/
ATOMIC_SPECIES
Sr 87.62 Sr.upf
Ni 58.69 Ni.upf
P 30.97 P.upf
CELL_PARAMETERS angstrom
3.176 -7.942 0.000
3.176 7.942 0.000
0.000 0.000 8.620
ATOMIC_POSITIONS crystal
Sr 0.000 0.000 0.000
Sr 0.500 0.500 0.500
Ni 0.026 0.373 0.470
Ni 0.044 0.956 0.619
Ni 0.086 0.414 0.750
Ni 0.127 0.474 0.030
Ni 0.207 0.793 0.792
Ni 0.293 0.707 0.292
Ni 0.373 0.026 0.530
Ni 0.414 0.086 0.250
Ni 0.456 0.544 0.119
Ni 0.474 0.127 0.970
Ni 0.526 0.873 0.030
Ni 0.544 0.456 0.881
Ni 0.586 0.914 0.750
Ni 0.627 0.974 0.470
Ni 0.707 0.293 0.708
Ni 0.793 0.207 0.208
Ni 0.873 0.526 0.970
Ni 0.914 0.586 0.250
Ni 0.956 0.044 0.381
Ni 0.974 0.627 0.530
P 0.091 0.909 0.370
P 0.144 0.356 0.250
P 0.208 0.792 0.073
P 0.292 0.708 0.573
P 0.356 0.144 0.750
P 0.409 0.591 0.870
P 0.591 0.409 0.130
P 0.644 0.856 0.250
P 0.708 0.292 0.427
P 0.792 0.208 0.927
P 0.856 0.644 0.750
P 0.909 0.091 0.630
```



The following is a DFT calculation (SCAN) of TmCoB4 at its PBEsol-relaxed geometry. Values from VASP.

Calculated values
- formation energy from the elements (meV per atom) = -656.7

```
&SYSTEM
  ibrav = 0, nat = 24, ntyp = 3
/
ATOMIC_SPECIES
Tm 168.93 Tm.upf
Co 58.93 Co.upf
B 10.81 B.upf
CELL_PARAMETERS angstrom
5.823 0.000 0.000
0.000 11.278 0.000
0.000 0.000 3.290
ATOMIC_POSITIONS crystal
Tm 0.129 0.150 0.000
Tm 0.371 0.650 0.000
Tm 0.629 0.350 0.000
Tm 0.871 0.850 0.000
Co 0.135 0.411 0.000
Co 0.365 0.911 0.000
Co 0.635 0.089 0.000
Co 0.865 0.589 0.000
B 0.023 0.692 0.500
B 0.112 0.546 0.500
B 0.138 0.968 0.500
B 0.216 0.815 0.500
B 0.284 0.315 0.500
B 0.362 0.468 0.500
B 0.388 0.046 0.500
B 0.477 0.192 0.500
B 0.523 0.808 0.500
B 0.612 0.954 0.500
B 0.638 0.532 0.500
B 0.716 0.685 0.500
B 0.784 0.185 0.500
B 0.862 0.032 0.500
B 0.888 0.454 0.500
B 0.977 0.308 0.500
```



The following is a DFT calculation (SCAN) of YTa2Cd at its PBEsol-relaxed geometry. Values from VASP.

Calculated values
- formation energy from the elements (meV per atom) = 352.6

```
&SYSTEM
  ibrav = 0, nat = 4, ntyp = 3
/
ATOMIC_SPECIES
Y 88.91 Y.upf
Ta 180.95 Ta.upf
Cd 112.41 Cd.upf
CELL_PARAMETERS angstrom
2.976 0.000 0.000
0.000 5.225 0.000
-0.532 0.000 5.290
ATOMIC_POSITIONS crystal
Y 0.000 0.000 0.000
Ta 0.352 0.500 0.748
Ta 0.648 0.500 0.252
Cd 0.500 0.000 0.500
```



The following is a DFT calculation (SCAN) of HgIr2C at its PBEsol-relaxed geometry. Values from VASP.

Calculated values
- relative energy among the computed polymorphs (meV per atom) = 1383
- formation energy from the elements (meV per atom) = 1970.7

```
&SYSTEM
  ibrav = 0, nat = 4, ntyp = 3
/
ATOMIC_SPECIES
Hg 200.59 Hg.upf
Ir 192.22 Ir.upf
C 12.01 C.upf
CELL_PARAMETERS angstrom
0.000 3.046 3.046
3.046 0.000 3.046
3.046 3.046 0.000
ATOMIC_POSITIONS crystal
Hg 0.000 0.000 0.000
Ir 0.250 0.250 0.250
Ir 0.750 0.750 0.750
C 0.500 0.500 0.500
```



The following is a DFT calculation (SCAN) of KBi2Pb at its PBEsol-relaxed geometry. Values from VASP.

Calculated values
- formation energy from the elements (meV per atom) = -113.2

```
&SYSTEM
  ibrav = 0, nat = 8, ntyp = 3
/
ATOMIC_SPECIES
K 39.10 K.upf
Bi 208.98 Bi.upf
Pb 207.20 Pb.upf
CELL_PARAMETERS angstrom
-4.586 4.586 3.340
4.586 -4.586 3.340
4.586 4.586 -3.340
ATOMIC_POSITIONS crystal
K 0.000 0.000 0.000
K 0.750 0.250 0.500
Bi 0.162 0.625 0.037
Bi 0.375 0.412 0.537
Bi 0.588 0.125 0.963
Bi 0.875 0.838 0.463
Pb 0.250 0.750 0.500
Pb 0.500 0.500 0.000
```



The following is a DFT calculation (SCAN) of RbP2NCl at its PBEsol-relaxed geometry. Values from VASP.

Calculated values
- relative energy among the computed polymorphs (meV per atom) = 1284
- formation energy from raw total energies (eV per atom) = 1.628

```
&SYSTEM
  ibrav = 0, nat = 5, ntyp = 4
/
ATOMIC_SPECIES
Rb 85.47 Rb.upf
P 30.97 P.upf
N 14.01 N.upf
Cl 35.45 Cl.upf
CELL_PARAMETERS angstrom
7.701 0.000 0.000
0.000 7.701 0.000
0.000 0.000 5.921
ATOMIC_POSITIONS crystal
Rb 0.000 0.000 0.000
P 0.000 0.500 0.000
P 0.500 0.000 0.000
N 0.500 0.500 0.500
Cl 0.000 0.000 0.500
```



The following is a DFT calculation (SCAN) of LaScIr2 at its PBEsol-relaxed geometry. Values from VASP.

Calculated values
- relative energy among the computed polymorphs (meV per atom) = 381
- formation energy from the elements (meV per atom) = -496.0

```
&SYSTEM
  ibrav = 0, nat = 4, ntyp = 3
/
ATOMIC_SPECIES
La 138.91 La.upf
Sc 44.96 Sc.upf
Ir 192.22 Ir.upf
CELL_PARAMETERS angstrom
-1.999 1.999 4.774
1.999 -1.999 4.774
1.999 1.999 -4.774
ATOMIC_POSITIONS crystal
La 0.000 0.000 0.000
Sc 0.750 0.250 0.500
Ir 0.250 0.750 0.500
Ir 0.500 0.500 0.000
```



The following is a DFT calculation (SCAN) of BeCr2 at its PBEsol-relaxed geometry. Values from VASP.

Calculated values
- formation energy from the elements (meV per atom) = 204.2

```
&SYSTEM
  ibrav = 0, nat = 6, ntyp = 2
/
ATOMIC_SPECIES
Be 9.01 Be.upf
Cr 52.00 Cr.upf
CELL_PARAMETERS angstrom
4.621 -1.149 0.000
4.621 1.149 0.000
-1.461 0.000 5.821
ATOMIC_POSITIONS crystal
Be 0.039 0.039 0.319
Be 0.961 0.961 0.681
Cr 0.307 0.307 0.348
Cr 0.377 0.377 0.994
Cr 0.623 0.623 0.006
Cr 0.693 0.693 0.652
```



The following is a DFT calculation (SCAN) of KAu2Br at its PBEsol-relaxed geometry. Values from VASP.

Calculated values
- relative energy among the computed polymorphs (meV per atom) = 0
- formation energy from raw total energies (eV per atom) = -0.350

```
&SYSTEM
  ibrav = 0, nat = 4, ntyp = 3
/
ATOMIC_SPECIES
K 39.10 K.upf
Au 196.97 Au.upf
Br 79.90 Br.upf
CELL_PARAMETERS angstrom
-1.696 2.291 5.979
1.696 -2.291 5.979
1.696 2.291 -5.979
ATOMIC_POSITIONS crystal
K 0.000 0.000 0.000
Au 0.261 0.761 0.500
Au 0.739 0.239 0.500
Br 0.500 0.500 0.000
```



The following is a DFT calculation (SCAN) of FeCoNi2 at its PBEsol-relaxed geometry. Values from VASP.

Calculated values
- formation energy from the elements (meV per atom) = -105.5

```
&SYSTEM
  ibrav = 0, nat = 4, ntyp = 3
/
ATOMIC_SPECIES
Fe 55.84 Fe.upf
Co 58.93 Co.upf
Ni 58.69 Ni.upf
CELL_PARAMETERS angstrom
2.436 0.000 0.000
0.000 3.542 0.000
0.000 0.000 4.896
ATOMIC_POSITIONS crystal
Fe 0.000 0.000 0.000
Co 0.000 0.000 0.500
Ni 0.500 0.500 0.254
Ni 0.500 0.500 0.746
```



The following is a DFT calculation (SCAN) of Ba2P at its PBEsol-relaxed geometry. Values from VASP.

Calculated values
- formation energy from the elements (meV per atom) = -899.5

```
&SYSTEM
  ibrav = 0, nat = 6, ntyp = 2
/
ATOMIC_SPECIES
Ba 137.33 Ba.upf
P 30.97 P.upf
CELL_PARAMETERS angstrom
2.206 -6.976 0.000
2.206 6.976 0.000
0.000 0.000 7.465
ATOMIC_POSITIONS crystal
Ba 0.005 0.995 0.500
Ba 0.269 0.731 0.332
Ba 0.731 0.269 0.832
Ba 0.995 0.005 0.000
P 0.385 0.615 0.732
P 0.615 0.385 0.232
```



The following is a DFT calculation (SCAN) of AsIr2Se at its PBEsol-relaxed geometry. Values from VASP.

Calculated values
- relative energy among the computed polymorphs (meV per atom) = 428
- formation energy from raw total energies (eV per atom) = 0.422

```
&SYSTEM
  ibrav = 0, nat = 4, ntyp = 3
/
ATOMIC_SPECIES
As 74.92 As.upf
Ir 192.22 Ir.upf
Se 78.96 Se.upf
CELL_PARAMETERS angstrom
1.392 -2.464 0.000
1.392 2.464 0.000
0.000 0.000 9.714
ATOMIC_POSITIONS crystal
As 0.000 0.000 0.000
Ir 0.000 0.000 0.455
Ir 0.500 0.500 0.216
Se 0.500 0.500 0.673
```



Number 1: density 6.57 g cm⁻³, raw total energy -257.58 eV/f.u.. Number 2: density 8.33 g cm⁻³, raw total energy -102.79 eV/f.u.. Number 3: density 11.37 g cm⁻³, raw total energy -190.01 eV/f.u.. Number 4: density 17.54 g cm⁻³, raw total energy -212.58 eV/f.u.. Number 5: density 7.85 g cm⁻³, raw total energy -241.72 eV/f.u.. Number 6: density 0.93 g cm⁻³, raw total energy -50.67 eV/f.u.. Number 7: density 12.36 g cm⁻³, raw total energy -201.52 eV/f.u.. Number 8: density 6.07 g cm⁻³, raw total energy -40.51 eV/f.u.. Number 9: density 9.16 g cm⁻³, raw total energy -167.50 eV/f.u.. Number 10: density 9.13 g cm⁻³, raw total energy -68.20 eV/f.u.. Number 11: density 4.42 g cm⁻³, raw total energy -92.20 eV/f.u.. Number 12: density 13.42 g cm⁻³, raw total energy -180.78 eV/f.u..